# 1
CaTm2HgPd4 | PBE | relaxed

## Properties
* SG: R-3m
* total magnetic moment: 0.0 μB/f.u.
* ΔE_f: -0.74 eV/atom

POSCAR file:
```
CaTm2HgPd4
1.0
-1.420 4.452 1.215
-2.221 0.758 4.220
5.843 3.037 5.292
Ca Tm Hg Pd
1 2 1 4
direct
0.000 0.000 0.000
0.756 0.756 0.731
0.244 0.244 0.269
0.500 0.500 0.500
0.376 0.376 0.872
0.877 0.877 0.369
0.123 0.123 0.631
0.624 0.624 0.128
```

=====

# 2
Ca2VHgPd | PBE | relaxed

## Properties
* SG: P4/mmm
* total magnetic moment: 4.3 μB/f.u.
* ΔE_f: 0.72 eV/atom

POSCAR file:
```
Ca2VHgPd
1.0
-4.105 -2.298 3.008
-1.766 -2.265 -4.141
3.241 -4.427 1.040
Ca Hg Pd V
2 1 1 1
direct
0.000 0.000 0.500
0.500 0.000 0.000
0.000 0.500 0.000
0.500 0.500 0.500
0.000 0.000 0.000
```

=====

> Which value of total magnetic moment does entry 2 give?

4.3 μB/f.u.

=====

> What is the ΔE_f in the second record?

0.72 eV/atom

=====

> The lowest total magnetic moment belongs to which entry?

CaTm2HgPd4

=====

> Number 2 is which compound?

Ca2VHgPd